No. 1
## KRe4Ni (PBE-GGA)

Data for KRe4Ni after structural relaxation.

abc: 5.304 5.304 5.304
angles: 60.00 60.00 60.00
Site moments in Bohr magnetons follow the coordinates.
Element x y z (fractional)
K (0.750, 0.750, 0.750)  0.00
Re (0.877, 0.374, 0.374)  0.02
Re (0.374, 0.374, 0.877)  0.02
Re (0.374, 0.877, 0.374)  0.02
Re (0.374, 0.374, 0.374)  0.02
Ni (0.000, 0.000, 0.000)  0.18

Calculated values
The raw total energy comes out at -8.263 eV/atom. The density comes out at 13.26 g/cm³. Its formation energy from the elements is 1.18 eV/atom. The density of states at the Fermi level is 9.39 states/eV per cell.

=====

No. 2
## Rb2TaBr6N (PBE-GGA)

Data for Rb2TaBr6N after structural relaxation.

abc: 8.413 8.413 7.529
angles: 56.03 56.03 90.00
Element x y z (fractional)
N (0.500, 0.500, 0.000)
Br (0.273, 0.273, 0.455)
Br (0.727, 0.727, 0.545)
Br (0.219, 0.219, 0.000)
Br (0.781, 0.781, 0.000)
Br (0.781, 0.219, 0.000)
Br (0.219, 0.781, 0.000)
Rb (0.750, 0.250, 0.500)
Rb (0.250, 0.750, 0.500)
Ta (0.000, 0.000, 0.000)

Calculated values
The raw total energy comes out at -3.739 eV/atom. The density comes out at 4.30 g/cm³. The value obtained for the uncorrected formation energy is -0.52 eV/atom. The density of states at the Fermi level is 0.50 states/eV per cell.

=====

No. 3
## AcDyHo6Er2 (PBE-GGA)

Data for AcDyHo6Er2 after structural relaxation.

abc: 9.447 8.856 8.856
angles: 117.47 92.43 92.43
Element x y z (fractional)
Ac (0.250, 0.968, 0.032)
Ac (0.750, 0.032, 0.968)
Dy (0.250, 0.412, 0.588)
Dy (0.750, 0.588, 0.412)
Ho (0.058, 0.128, 0.752)
Ho (0.442, 0.248, 0.872)
Ho (0.942, 0.872, 0.248)
Ho (0.558, 0.752, 0.128)
Ho (0.320, 0.986, 0.446)
Ho (0.180, 0.554, 0.014)
Ho (0.680, 0.014, 0.554)
Ho (0.820, 0.446, 0.986)
Ho (0.115, 0.712, 0.489)
Ho (0.385, 0.511, 0.288)
Ho (0.885, 0.288, 0.511)
Ho (0.615, 0.489, 0.712)
Er (0.450, 0.797, 0.684)
Er (0.050, 0.316, 0.203)
Er (0.550, 0.203, 0.316)
Er (0.950, 0.684, 0.797)

Calculated values
The raw total energy comes out at -4.398 eV/atom. The density comes out at 8.69 g/cm³. Its formation energy from the elements is 0.13 eV/atom. The density of states at the Fermi level is 30.06 states/eV per cell.

=====

No. 4
## AsIrOs2 (PBE-GGA)

Data for AsIrOs2 after structural relaxation.

abc: 4.694 4.694 4.694
angles: 130.25 130.25 73.01
Element x y z (fractional)
As (0.500, 0.500, 0.000)
Ir (0.750, 0.250, 0.500)
Os (0.000, 0.000, 0.000)
Os (0.250, 0.750, 0.500)

Calculated values
The raw total energy comes out at -8.512 eV/atom. The density comes out at 18.27 g/cm³. Its formation energy from the elements is 0.48 eV/atom. The density of states at the Fermi level is 3.34 states/eV per cell.

=====

No. 5
## Ca3SbP (PBE-GGA)

Data for Ca3SbP after structural relaxation.

abc: 4.967 4.967 16.355
angles: 90.00 90.00 120.00
Element x y z (fractional)
Sb (0.000, 0.000, 0.000)
Sb (0.000, 0.000, 0.500)
Ca (0.000, 0.000, 0.250)
Ca (0.000, 0.000, 0.750)
Ca (0.333, 0.667, 0.918)
Ca (0.333, 0.667, 0.582)
Ca (0.667, 0.333, 0.418)
Ca (0.667, 0.333, 0.082)
P (0.333, 0.667, 0.750)
P (0.667, 0.333, 0.250)

Calculated values
The raw total energy comes out at -4.116 eV/atom. The density comes out at 2.59 g/cm³. The value obtained for the uncorrected formation energy is -1.01 eV/atom. The density of states at the Fermi level is 0.00 states/eV per cell.

=====

No. 6
## Pr2GdAl (PBE-GGA)

Data for Pr2GdAl after structural relaxation.

abc: 3.630 3.630 9.269
angles: 90.00 90.00 90.00
Site moments in Bohr magnetons follow the coordinates.
Element x y z (fractional)
Pr (0.000, 0.000, 0.715)  -0.01
Pr (0.000, 0.000, 0.285)  -0.01
Gd (0.500, 0.500, 0.000)  7.20
Al (0.500, 0.500, 0.500)  0.00

Calculated values
The raw total energy comes out at -6.979 eV/atom. The density comes out at 6.33 g/cm³. Its formation energy from the elements is -0.13 eV/atom. The density of states at the Fermi level is 5.11 states/eV per cell.

=====

No. 7
## Er6Ru2Rh (PBE-GGA)

Data for Er6Ru2Rh after structural relaxation.

abc: 4.764 6.864 7.532
angles: 83.70 71.56 69.70
Element x y z (fractional)
Er (0.961, 0.243, 0.836)
Er (0.296, 0.243, 0.164)
Er (0.704, 0.757, 0.836)
Er (0.371, 0.757, 0.500)
Er (0.629, 0.243, 0.500)
Er (0.039, 0.757, 0.164)
Ru (0.334, 0.500, 0.832)
Ru (0.666, 0.500, 0.168)
Rh (0.000, 0.500, 0.500)

Calculated values
The raw total energy comes out at -6.376 eV/atom. The density comes out at 9.92 g/cm³. Its formation energy from the elements is -0.46 eV/atom. The density of states at the Fermi level is 5.15 states/eV per cell.

=====

No. 8
## Pm10Er6Th (PBE-GGA)

Data for Pm10Er6Th after structural relaxation.

abc: 6.927 9.753 9.753
angles: 120.00 90.00 90.00
Element x y z (fractional)
Pm (0.823, 0.722, 0.722)
Pm (0.823, 0.000, 0.278)
Pm (0.823, 0.278, 0.000)
Pm (0.177, 0.278, 0.278)
Pm (0.177, 0.000, 0.722)
Pm (0.177, 0.722, 0.000)
Pm (0.500, 0.333, 0.667)
Pm (0.500, 0.667, 0.333)
Pm (0.000, 0.667, 0.333)
Pm (0.000, 0.333, 0.667)
Er (0.683, 0.365, 0.365)
Er (0.683, 0.000, 0.635)
Er (0.683, 0.635, 0.000)
Er (0.317, 0.635, 0.635)
Er (0.317, 0.000, 0.365)
Er (0.317, 0.365, 0.000)
Th (0.500, 0.000, 0.000)

Calculated values
The raw total energy comes out at -4.693 eV/atom. The density comes out at 7.81 g/cm³. Its formation energy from the elements is 0.15 eV/atom. The density of states at the Fermi level is 25.93 states/eV per cell.

=====

No. 9
## CaTlBr2 (PBE-GGA)

Data for CaTlBr2 after structural relaxation.

abc: 5.516 5.516 5.516
angles: 60.00 60.00 60.00
Element x y z (fractional)
Tl (0.500, 0.500, 0.500)
Ca (0.000, 0.000, 0.000)
Br (0.250, 0.250, 0.250)
Br (0.750, 0.750, 0.750)

Calculated values
The raw total energy comes out at -2.935 eV/atom. The density comes out at 5.66 g/cm³. The value obtained for the uncorrected formation energy is -1.01 eV/atom. The density of states at the Fermi level is 2.08 states/eV per cell.

=====

No. 10
## KZnAu2 (PBE-GGA)

Data for KZnAu2 after structural relaxation.

abc: 4.564 6.326 7.539
angles: 90.00 90.00 90.00
Element x y z (fractional)
K (0.500, 0.885, 0.000)
K (0.000, 0.115, 0.500)
Zn (0.500, 0.596, 0.500)
Zn (0.000, 0.404, 0.000)
Au (0.000, 0.608, 0.686)
Au (0.500, 0.392, 0.814)
Au (0.000, 0.608, 0.314)
Au (0.500, 0.392, 0.186)

Calculated values
The raw total energy comes out at -2.502 eV/atom. The density comes out at 7.61 g/cm³. Its formation energy from the elements is -0.27 eV/atom. The density of states at the Fermi level is 2.03 states/eV per cell.

=====

No. 11
## Sm2ErTmS6 (PBE-GGA)

Data for Sm2ErTmS6 after structural relaxation.

abc: 6.963 6.963 7.356
angles: 61.76 61.76 60.00
Element x y z (fractional)
Sm (0.521, 0.521, 0.437)
Sm (0.021, 0.021, 0.938)
Er (0.817, 0.817, 0.549)
Tm (0.317, 0.317, 0.048)
S (0.605, 0.204, 0.257)
S (0.204, 0.934, 0.257)
S (0.934, 0.605, 0.257)
S (0.432, 0.703, 0.757)
S (0.703, 0.107, 0.757)
S (0.107, 0.432, 0.757)

Calculated values
The raw total energy comes out at -6.370 eV/atom. The density comes out at 5.32 g/cm³. The value obtained for the uncorrected formation energy is -2.05 eV/atom. The density of states at the Fermi level is 0.00 states/eV per cell.

=====

No. 12
## Sc2AlAg (PBE-GGA)

Data for Sc2AlAg after structural relaxation.

abc: 3.159 3.159 8.109
angles: 90.00 90.00 90.00
Site moments in Bohr magnetons follow the coordinates.
Element x y z (fractional)
Sc (0.000, 0.000, 0.973)  0.06
Sc (0.500, 0.500, 0.275)  0.04
Al (0.500, 0.500, 0.725)  0.00
Ag (0.000, 0.000, 0.527)  0.00

Calculated values
The raw total energy comes out at -5.016 eV/atom. The density comes out at 4.61 g/cm³. Its formation energy from the elements is -0.20 eV/atom. The density of states at the Fermi level is 4.60 states/eV per cell.